Record 1
Density functional theory data (GGA-PBE) for a relaxed Mg3SiSn crystal.

a = 5.2759 Å, b = 5.2759 Å, c = 5.2759 Å
α = 90.00°, β = 90.00°, γ = 90.00°
Last column: nearest neighbours and their distance in Å.
Fractional coordinates of all 5 atoms:
Mg 0.0000 0.0000 0.5000  2 Sn 2.64
Mg 0.0000 0.5000 0.0000  2 Sn 2.64
Mg 0.5000 0.0000 0.0000  2 Sn 2.64
Si 0.5000 0.5000 0.5000  12 Mg 3.73
Sn 0.0000 0.0000 0.0000  6 Mg 2.64

The calculation puts the offset from the most stable computed form at 0.478 eV/atom. The raw formation energy comes out at 640 meV/atom. The calculation puts the total energy at -2.20 eV/atom. The theoretical density comes out at 2.48 g cm⁻³. The calculated volume comes out at 146.9 Å³/cell. As for the space group: Pm-3m.

=====

Record 2
Density functional theory data (GGA-PBE) for a relaxed Co crystal.

a = 7.6062 Å, b = 7.6062 Å, c = 7.6062 Å
α = 91.37°, β = 91.37°, γ = 162.21°
Last column: nearest neighbours and their distance in Å.
Fractional coordinates of all 8 atoms:
Co 0.1057 0.2565 0.3622  6 Co 2.25-2.38
Co 0.1057 0.7435 0.8492  6 Co 2.25-2.38
Co 0.2565 0.1057 0.3622  6 Co 2.25-2.38
Co 0.2565 0.8943 0.1508  6 Co 2.25-2.38
Co 0.7435 0.1057 0.8492  6 Co 2.25-2.38
Co 0.7435 0.8943 0.6378  6 Co 2.25-2.38
Co 0.8943 0.2565 0.1508  6 Co 2.25-2.38
Co 0.8943 0.7435 0.6378  6 Co 2.25-2.38

Its energy relative to the elements is 0.93 eV/atom. The calculation puts the offset from the most stable computed form at 0.925 eV/atom. The calculation puts the total energy at -6.18 eV/atom. The theoretical density comes out at 5.89 g cm⁻³. The calculated volume comes out at 132.8 Å³/cell. As for the space group: I4/mmm.

=====

Record 3
Density functional theory data (GGA-PBE) for a relaxed TlCu2IBr crystal.

a = 4.8712 Å, b = 4.8712 Å, c = 7.0685 Å
α = 90.00°, β = 90.00°, γ = 90.00°
Last column: nearest neighbours and their distance in Å.
Fractional coordinates of all 5 atoms:
Tl 0.0000 0.0000 0.0000  4 I 3.44, 2 Br 3.53
Cu 0.0000 0.5000 0.5000  2 Br 2.44
Cu 0.5000 0.0000 0.5000  2 Br 2.44
I 0.5000 0.5000 0.0000  4 Tl 3.44
Br 0.0000 0.0000 0.5000  4 Cu 2.44

The raw formation energy comes out at 230 meV/atom. The calculation puts the total energy at -2.53 eV/atom. The theoretical density comes out at 5.33 g cm⁻³. The calculated volume comes out at 167.7 Å³/cell. As for the space group: P4/mmm.

=====

Record 4
Density functional theory data (GGA-PBE) for a relaxed SiPIr2 crystal.

a = 4.4095 Å, b = 4.4095 Å, c = 2.8460 Å
α = 90.00°, β = 90.00°, γ = 98.80°
Last column: nearest neighbours and their distance in Å.
Fractional coordinates of all 4 atoms:
Si 0.0000 0.0000 0.0000  8 Ir 2.62, 2 Si 2.85, 2 P 2.87
P 0.5000 0.5000 0.0000  8 Ir 2.62, 2 P 2.85, 2 Si 2.87
Ir 0.0000 0.5000 0.5000  4 Si 2.62, 4 P 2.62, 4 Ir 2.85-2.87
Ir 0.5000 0.0000 0.5000  4 Si 2.62, 4 P 2.62, 4 Ir 2.85-2.87

The calculation puts the offset from the most stable computed form at 0.296 eV/atom. The raw formation energy comes out at -71 meV/atom. The calculation puts the total energy at -7.21 eV/atom. The theoretical density comes out at 13.47 g cm⁻³. The calculated volume comes out at 54.7 Å³/cell. As for the space group: Cmmm.

=====

Record 5
Density functional theory data (GGA-PBE) for a relaxed La2ScSe crystal.

a = 5.9722 Å, b = 5.9722 Å, c = 5.9722 Å
α = 133.33°, β = 133.33°, γ = 68.14°
Last column: nearest neighbours and their distance in Å.
Fractional coordinates of all 4 atoms:
La 0.2500 0.7500 0.5000  4 La 3.35, 4 Se 3.42, 4 Sc 3.42
La 0.7500 0.2500 0.5000  4 La 3.35, 4 Se 3.42, 4 Sc 3.42
Sc 0.0000 0.0000 0.0000  4 Se 3.35, 8 La 3.42
Se 0.5000 0.5000 0.0000  4 Sc 3.35, 8 La 3.42

The raw formation energy comes out at -390 meV/atom. The calculation puts the total energy at -5.31 eV/atom. The theoretical density comes out at 6.02 g cm⁻³. The calculated volume comes out at 110.7 Å³/cell. As for the space group: I4/mmm.

=====

Record 6
Density functional theory data (GGA-PBE) for a relaxed CaLa7Tb4 crystal.

a = 6.3982 Å, b = 7.3883 Å, c = 9.7790 Å
α = 78.85°, β = 71.06°, γ = 89.98°
Last column: nearest neighbours and their distance in Å.
Fractional coordinates of all 12 atoms:
Ca 0.0000 0.0000 0.0000  10 La 3.69-3.77, 2 Tb 3.77
La 0.0000 0.5000 0.0000  6 La 3.64-3.74, 2 Ca 3.69, 4 Tb 3.69-3.72
La 0.1686 0.9152 0.3412  6 Tb 3.60-3.78, 5 La 3.61-3.80, 1 Ca 3.77
La 0.3426 0.3392 0.6618  5 La 3.56-3.78, 6 Tb 3.61-3.76, 1 Ca 3.76
La 0.4979 0.7383 0.9999  7 La 3.52-3.87, 3 Tb 3.67-3.69, 2 Ca 3.73-3.75
La 0.5021 0.2617 0.0001  7 La 3.52-3.87, 3 Tb 3.67-3.69, 2 Ca 3.73-3.75
La 0.6574 0.6608 0.3382  5 La 3.56-3.78, 6 Tb 3.61-3.76, 1 Ca 3.76
La 0.8314 0.0848 0.6588  6 Tb 3.60-3.78, 5 La 3.61-3.80, 1 Ca 3.77
Tb 0.1629 0.4145 0.3352  9 La 3.62-3.71, 3 Tb 3.65-3.70
Tb 0.3424 0.8303 0.6620  8 La 3.60-3.78, 3 Tb 3.63-3.70, 1 Ca 3.77
Tb 0.6576 0.1697 0.3380  8 La 3.60-3.78, 3 Tb 3.63-3.70, 1 Ca 3.77
Tb 0.8371 0.5855 0.6648  9 La 3.62-3.71, 3 Tb 3.65-3.70

Its energy relative to the elements is 0.04 eV/atom. The calculation puts the total energy at -4.54 eV/atom. The theoretical density comes out at 6.39 g cm⁻³. The calculated volume comes out at 428.0 Å³/cell. As for the space group: P-1.